(1)
An optimized crystal structure of ZrIrSe2, computed with GGA-PBEsol.

Cell: 3.4065 4.4089 4.4089 Å, 90.00 90.00 90.00°
With the nearest neighbours (Å) after each atom.
Element x y z (fractional)
Se (0.0000, 0.5000, 0.0000)  4 Zr 2.79, 4 Ir 2.79, 4 Se 3.12
Zr (0.5000, 0.5000, 0.5000)  8 Se 2.79, 4 Ir 3.12
Se (0.0000, 0.0000, 0.5000)  4 Zr 2.79, 4 Ir 2.79, 4 Se 3.12
Ir (0.5000, 0.0000, 0.0000)  8 Se 2.79, 4 Zr 3.12

(2)
An optimized crystal structure of ZrIrSe2, computed with GGA-PBEsol.

Cell: 4.6533 4.6533 4.6533 Å, 60.00 60.00 60.00°
With the nearest neighbours (Å) after each atom.
Element x y z (fractional)
Se (0.0000, 0.0000, 0.0000)  4 Se 2.85, 4 Zr 2.85
Ir (0.5000, 0.5000, 0.5000)  4 Zr 2.85, 4 Se 2.85
Zr (0.2500, 0.2500, 0.2500)  4 Se 2.85, 4 Ir 2.85
Se (0.7500, 0.7500, 0.7500)  4 Se 2.85, 4 Ir 2.85

Stability check: which of them is most stable? (1).

(1)
An optimized crystal structure of Si2Ir3, computed with GGA-PBEsol.

Cell: 4.0056 4.0056 5.3610 Å, 90.00 90.00 120.00°
With the nearest neighbours (Å) after each atom.
Element x y z (fractional)
Ir (0.0000, 0.0000, 0.0000)  3 Si 2.31
Ir (0.6667, 0.3333, 0.7355)  4 Ir 2.53-2.71, 6 Si 2.63-2.71
Si (0.0000, 0.0000, 0.5000)  8 Ir 2.63-2.68
Si (0.3333, 0.6667, 0.0000)  3 Ir 2.31
Ir (0.6667, 0.3333, 0.2645)  4 Ir 2.53-2.71, 6 Si 2.63-2.71

(2)
An optimized crystal structure of Si2Ir3, computed with GGA-PBEsol.

Cell: 3.9785 3.9785 5.1175 Å, 90.00 90.00 120.00°
With the nearest neighbours (Å) after each atom.
Element x y z (fractional)
Ir (0.0000, 0.0000, 0.0000)  6 Si 2.52
Si (0.6667, 0.3333, 0.2022)  7 Ir 2.38-2.52
Ir (0.6667, 0.3333, 0.6731)  4 Si 2.38-2.41
Ir (0.3333, 0.6667, 0.3269)  4 Si 2.38-2.41
Si (0.3333, 0.6667, 0.7978)  7 Ir 2.38-2.52

Stability check: which of them is most stable? (2).

(1)
An optimized crystal structure of Si2TcIr, computed with GGA-PBEsol.

Cell: 2.8933 4.2797 4.6304 Å, 106.06 108.21 90.00°
With the nearest neighbours (Å) after each atom.
Element x y z (fractional)
Si (0.0020, 0.9458, 0.0041)  3 Ir 2.43-2.54, 4 Tc 2.52-2.65, 2 Si 2.70
Ir (0.2548, 0.8222, 0.5097)  7 Si 2.43-2.61
Si (0.7502, 0.3109, 0.5003)  3 Tc 2.44-2.51, 4 Ir 2.55-2.61, 2 Si 2.70
Tc (0.4930, 0.4212, 0.9859)  7 Si 2.44-2.65

(2)
An optimized crystal structure of Si2TcIr, computed with GGA-PBEsol.

Cell: 2.7064 2.7064 7.4632 Å, 90.00 90.00 90.00°
With the nearest neighbours (Å) after each atom.
Element x y z (fractional)
Tc (0.0000, 0.0000, 0.5014)  4 Si 2.63, 4 Ir 2.67, 4 Tc 2.71
Si (0.0000, 0.0000, 0.9874)  4 Ir 2.60, 8 Si 2.71-2.79
Si (0.5000, 0.5000, 0.2601)  4 Tc 2.63, 8 Si 2.71-2.79
Ir (0.5000, 0.5000, 0.7511)  4 Si 2.60, 4 Tc 2.67, 4 Ir 2.71

(3)
An optimized crystal structure of Si2TcIr, computed with GGA-PBEsol.

Cell: 2.8490 4.8468 4.8468 Å, 61.13 72.91 72.91°
With the nearest neighbours (Å) after each atom.
Element x y z (fractional)
Tc (0.5000, 0.0000, 0.0000)  4 Si 2.43
Si (0.7497, 0.2503, 0.2503)  2 Ir 2.42, 2 Tc 2.43
Ir (0.0000, 0.5000, 0.5000)  4 Si 2.42
Si (0.2503, 0.7497, 0.7497)  2 Ir 2.42, 2 Tc 2.43

(4)
An optimized crystal structure of Si2TcIr, computed with GGA-PBEsol.

Cell: 2.8109 3.7928 5.1334 Å, 90.00 90.00 90.00°
With the nearest neighbours (Å) after each atom.
Element x y z (fractional)
Si (0.0000, 0.0000, 0.7290)  1 Si 2.35, 2 Ir 2.35
Ir (0.0000, 0.5000, 0.0000)  4 Si 2.35
Si (0.0000, 0.0000, 0.2710)  1 Si 2.35, 2 Ir 2.35
Tc (0.5000, 0.5000, 0.5000)  8 Si 2.64, 2 Tc 2.81, 4 Ir 2.93

Stability check: which of them is most stable? (1).

(1)
An optimized crystal structure of Si2TcIr, computed with GGA-PBEsol.

Cell: 4.1564 4.1564 4.1564 Å, 60.00 60.00 60.00°
With the nearest neighbours (Å) after each atom.
Element x y z (fractional)
Tc (0.0000, 0.0000, 0.0000)  8 Si 2.55
Si (0.2500, 0.2500, 0.2500)  4 Tc 2.55, 4 Ir 2.55
Ir (0.5000, 0.5000, 0.5000)  8 Si 2.55
Si (0.7500, 0.7500, 0.7500)  4 Tc 2.55, 4 Ir 2.55

(2)
An optimized crystal structure of Si2TcIr, computed with GGA-PBEsol.

Cell: 2.9615 4.1509 4.1509 Å, 90.00 90.00 90.00°
With the nearest neighbours (Å) after each atom.
Element x y z (fractional)
Ir (0.5000, 0.0000, 0.0000)  8 Si 2.55
Si (0.0000, 0.5000, 0.0000)  4 Tc 2.55, 4 Ir 2.55
Tc (0.5000, 0.5000, 0.5000)  8 Si 2.55
Si (0.0000, 0.0000, 0.5000)  4 Tc 2.55, 4 Ir 2.55

Stability check: which of them is most stable? (1).